Entry a
YP3Se PBE optimized geometry; SG = Pm-3m (221)
1.0
4.755 0.000 0.000
0.000 4.755 0.000
0.000 0.000 4.755
Y P Se
1 3 1
direct
0.500 0.500 0.500
0.000 0.500 0.000
0.000 0.000 0.500
0.500 0.000 0.000
0.000 0.000 0.000



Entry b
YP3Se PBE optimized geometry; SG = Pm-3m (221)
1.0
5.264 0.000 0.000
0.000 5.264 0.000
0.000 0.000 5.264
Y P Se
1 3 1
direct
0.000 0.000 0.000
0.000 0.500 0.000
0.500 0.000 0.000
0.000 0.000 0.500
0.500 0.500 0.500



So which one is most stable? That would be entry a, about 706 meV per atom below the next structure.



Entry a
YPSe3 PBE optimized geometry; SG = Pm-3m (221)
1.0
5.420 0.000 0.000
0.000 5.420 0.000
0.000 0.000 5.420
Se Y P
3 1 1
direct
0.000 0.500 0.000
0.000 0.000 0.500
0.500 0.000 0.000
0.000 0.000 0.000
0.500 0.500 0.500



Entry b
YPSe3 PBE optimized geometry; SG = Pm-3m (221)
1.0
-3.524 -3.335 0.154
0.530 -0.780 -4.762
3.296 -3.440 0.931
Se Y P
3 1 1
direct
0.000 0.500 0.000
0.500 0.000 0.000
0.000 0.000 0.500
0.500 0.500 0.500
0.000 0.000 0.000



So which one is most stable? That would be entry b, about 760 meV per atom below the next structure.



Entry a
Y4PSe2 PBE optimized geometry; SG = R-3m (166)
1.0
-3.710 -0.698 -1.222
-0.637 -2.046 -3.339
-1.613 -12.160 5.401
Y Se P
4 2 1
direct
0.294 0.294 0.119
0.706 0.706 0.881
0.131 0.131 0.606
0.869 0.869 0.394
0.419 0.419 0.743
0.581 0.581 0.257
0.000 0.000 0.000



Entry b
Y4PSe2 PBE optimized geometry; SG = I4/mmm (139)
1.0
5.284 0.000 0.000
0.000 5.284 0.000
2.642 2.642 7.096
Y Se P
4 2 1
direct
0.194 0.194 0.612
0.000 0.500 0.000
0.806 0.806 0.388
0.500 0.000 0.000
0.387 0.387 0.226
0.613 0.613 0.774
0.000 0.000 0.000



So which one is most stable? That would be entry a, about 494 meV per atom below the next structure.



Entry a
ZnPSe2 PBE optimized geometry; SG = Fm-3m (225)
1.0
-3.477 -3.093 -0.513
-4.452 1.443 0.112
-2.564 -0.012 -3.917
Zn P Se
1 1 2
direct
0.500 0.500 0.500
0.000 0.000 0.000
0.750 0.750 0.750
0.250 0.250 0.250



Entry b
ZnPSe2 PBE optimized geometry; SG = P4mm (99)
1.0
-2.680 -1.157 0.936
1.423 -1.429 2.309
-1.214 6.844 4.984
Zn Se P
1 2 1
direct
0.000 0.000 0.526
0.000 0.000 0.915
0.500 0.500 0.310
0.500 0.500 0.749



Entry c
ZnPSe2 PBE optimized geometry; SG = Cmmm (65)
1.0
-4.358 -0.580 0.857
3.319 -2.860 -0.933
1.435 -0.586 6.901
Zn Se P
1 2 1
direct
0.500 0.500 0.500
0.000 0.000 0.243
0.000 0.000 0.757
0.500 0.500 0.000



So which one is most stable? That would be entry c, about 199 meV per atom below the next structure.